A plane-wave DFT calculation with PBE+U was carried out for an optimized crystal structure of BaMo2F.

Cell lengths 5.6947, 5.6947, 5.6947 Å; angles 60.00, 60.00, 60.00 degrees
Last column: nearest neighbours and their distance in Å.
Fractional positions:
Ba1 0.0000 0.0000 0.0000  8 Mo 3.49
Mo1 0.2500 0.2500 0.2500  4 Ba 3.49, 4 F 3.49
Mo2 0.7500 0.7500 0.7500  4 Ba 3.49, 4 F 3.49
F1 0.5000 0.5000 0.5000  8 Mo 3.49

Properties
Raw total energy in eV per cell: -14.74
Excess energy over the best structure of this formula in the dataset in meV/atom: 446
Total moment in μB/atom: 2.75